The following is a PBE calculation of an optimized crystal structure of LaTmTc, from Alexandria via LeMat-Bulk.

Values from the calculation:
Final energy, eV/atom: -6.58
Energy of formation, eV/atom: 0.01
SG: I4mm
E above lowest polymorph, meV/atom: 42

The structure in POSCAR format:
```
LaTmTc
1.0
-0.110 1.835 -2.963
-1.025 -2.850 -1.727
-5.650 2.032 3.519
Tm Tc La
1 1 1
Direct
0.041 0.041 0.083
0.662 0.662 0.324
0.297 0.297 0.594
```